RbSrAg2F8: optimized geometry, GGA-PBE.

The space group is I-4 (No. 82) and the conventional cell measures 6.293, 6.293 and 9.992 Å, with angles of 90.00, 90.00 and 90.00 degrees. The asymmetric unit holds Rb at (0.000, 0.000, 0.000), Sr at (0.000, 0.500, 0.750), Ag at (0.000, 0.000, 0.500), Ag at (0.000, 0.500, 0.250), F at (0.009, 0.314, 0.513) and F at (0.167, 0.792, 0.238).

The volume comes out at 16.49 Å³/atom. For the total energy, the calculation gives -4.0217 eV per atom. Its density is 4.539 g/cm3. The calculation puts the total magnetization at 0.8 μB per formula unit.

***

Rb2SrAg2F6: optimized geometry, GGA-PBE.

The space group is C2/m (No. 12) and the conventional cell measures 11.995, 6.567 and 6.877 Å, with angles of 90.00, 119.11 and 90.00 degrees. The asymmetric unit holds Rb at (0.226, 0.000, 0.166), Sr at (0.000, 0.000, 0.500), Ag at (0.072, 0.500, 0.239), F at (0.071, 0.249, 0.801) and F at (0.219, 0.000, 0.573).

The volume comes out at 21.51 Å³/atom. For the total energy, the calculation gives -4.2330 eV per atom. Its density is 4.128 g/cm3. The calculation puts the total magnetization at 0.0 μB per formula unit.

***

Rb4SrAg3F12: optimized geometry, GGA-PBE.

The space group is Im-3m (No. 229) and the conventional cell measures 9.055, 9.055 and 9.055 Å, with angles of 90.00, 90.00 and 90.00 degrees. The asymmetric unit holds Rb at (0.250, 0.250, 0.250), Sr at (0.000, 0.000, 0.000), Ag at (0.000, 0.000, 0.500), F at (0.000, 0.000, 0.259) and F at (0.000, 0.250, 0.500).

The volume comes out at 18.56 Å³/atom. For the total energy, the calculation gives -4.0495 eV per atom. Its density is 4.389 g/cm3. The calculation puts the total magnetization at 1.3 μB per formula unit.

***

RbSrAgF6: optimized geometry, GGA-PBE.

The space group is Imma (No. 74) and the conventional cell measures 7.709, 8.484 and 10.483 Å, with angles of 90.00, 90.00 and 90.00 degrees. The asymmetric unit holds Rb at (0.000, 0.250, 0.150), Sr at (0.250, 0.250, 0.750), Ag at (0.000, 0.000, 0.500), F at (0.000, 0.250, 0.610), F at (0.000, 0.250, 0.888) and F at (0.182, 0.036, 0.368).

The volume comes out at 19.04 Å³/atom. For the total energy, the calculation gives -4.2711 eV per atom. Its density is 3.826 g/cm3. The calculation puts the total magnetization at 0.0 μB per formula unit.

***

Rb2TaAgF6: optimized geometry, GGA-PBE.

The space group is Fm-3m (No. 225) and the conventional cell measures 10.252, 10.252 and 10.252 Å, with angles of 90.00, 90.00 and 90.00 degrees. The asymmetric unit holds Rb at (0.250, 0.250, 0.250), Ta at (0.000, 0.000, 0.000), Ag at (0.000, 0.000, 0.500) and F at (0.000, 0.000, 0.188).

The volume comes out at 26.94 Å³/atom. For the total energy, the calculation gives -5.2356 eV per atom. Its density is 3.537 g/cm3. The calculation puts the total magnetization at 0.0 μB per formula unit.

***

Rb3TbAg2F9: optimized geometry, GGA-PBE.

The space group is P-3m1 (No. 164) and the conventional cell measures 6.4126, 6.4126 and 8.0263 Å, with angles of 90.00, 90.00 and 120.00 degrees. The asymmetric unit holds Rb at (0.0000, 0.0000, 0.0000), Rb at (0.3333, 0.6667, 0.7115), Tb at (0.0000, 0.0000, 0.5000), Ag at (0.3333, 0.6667, 0.1663), F at (0.0000, 0.5000, 0.0000) and F at (0.1590, 0.3181, 0.3385).

The volume comes out at 19.06 Å³/atom. For the total energy, the calculation gives -4.5907 eV per atom. Its density is 4.659 g/cm3. The calculation puts the total magnetization at 1.1 μB per formula unit.

***

RbTbAgF6: optimized geometry, GGA-PBE.

The space group is Imma (No. 74) and the conventional cell measures 7.841, 8.337 and 12.150 Å, with angles of 90.00, 90.00 and 90.00 degrees. The asymmetric unit holds Rb at (0.000, 0.250, 0.030), Tb at (0.000, 0.000, 0.500), Ag at (0.250, 0.250, 0.750), F at (0.000, 0.250, 0.436), F at (0.000, 0.250, 0.797) and F at (0.215, 0.064, 0.608).

The volume comes out at 22.06 Å³/atom. For the total energy, the calculation gives -4.9739 eV per atom. Its density is 3.899 g/cm3. The calculation puts the total magnetization at 0.0 μB per formula unit.

***

Rb2TcAgF6: optimized geometry, GGA-PBE.

The space group is I4/mmm (No. 139) and the conventional cell measures 6.324, 6.324 and 8.968 Å, with angles of 90.00, 90.00 and 90.00 degrees. The asymmetric unit holds Rb at (0.000, 0.500, 0.250), Tc at (0.000, 0.000, 0.000), Ag at (0.000, 0.000, 0.500), F at (0.000, 0.000, 0.232) and F at (0.228, 0.228, 0.000).

The volume comes out at 17.93 Å³/atom. For the total energy, the calculation gives -4.7182 eV per atom. Its density is 4.545 g/cm3. The calculation puts the total magnetization at 2.0 μB per formula unit.

***

Repeat the fifth record exactly.
Rb2TaAgF6: optimized geometry, GGA-PBE.

The space group is Fm-3m (No. 225) and the conventional cell measures 10.252, 10.252 and 10.252 Å, with angles of 90.00, 90.00 and 90.00 degrees. The asymmetric unit holds Rb at (0.250, 0.250, 0.250), Ta at (0.000, 0.000, 0.000), Ag at (0.000, 0.000, 0.500) and F at (0.000, 0.000, 0.188).

The volume comes out at 26.94 Å³/atom. For the total energy, the calculation gives -5.2356 eV per atom. Its density is 3.537 g/cm3. The calculation puts the total magnetization at 0.0 μB per formula unit.